Mn2SiAu | the Alexandria database | PBE | optimized geometry; N(E_F) = 0.606 states/eV per atom; total magnetization = 5.03 μB/cell; electronic total energy = -6.84 eV per atom; SG = P4/mmm; formation energy (no corrections) = -0.08 eV/atom
1.0
-0.301 -1.559 2.212
2.700 -0.022 0.351
-0.492 5.996 4.161
Si Mn Au
1 2 1
direct
0.500 0.500 0.250
0.000 0.000 0.036
0.000 0.000 0.464
0.500 0.500 0.750

MnSiAu2 | the Alexandria database | PBE | optimized geometry; N(E_F) = 0.384 states/eV per atom; total magnetization = 2.79 μB/cell; electronic total energy = -5.24 eV per atom; SG = Cmm2; formation energy (no corrections) = 0.05 eV/atom
1.0
2.942 0.010 0.000
-0.319 2.925 0.000
0.000 0.000 7.246
Si Au Mn
1 2 1
direct
0.500 0.500 0.723
0.000 0.000 0.969
0.500 0.500 0.275
0.000 0.000 0.533

Q: The lowest formation energy (no corrections) belongs to which entry?
A: Mn2SiAu

Q: Which of these has the lowest formation energy (no corrections)?
A: Mn2SiAu